1.
# PrZn2Ag4

A relaxed PrZn2Ag4 crystal (PBE, the Alexandria database).

DFT formation energy in eV/atom: -0.1849
Spin magnetization in μB/f.u.: 0.000
E_tot in eV/cell: -20.027

a = 5.6986 Å, b = 5.6986 Å, c = 5.6986 Å
α = 102.83°, β = 102.83°, γ = 123.78°
Closest atoms and distances in Å follow each position.
Fractional positions:
Pr (0.0000, 0.0000, 0.0000)  12 Ag 3.06-3.33
Zn (0.2500, 0.7500, 0.5000)  2 Zn 2.69, 8 Ag 2.90
Zn (0.7500, 0.2500, 0.5000)  2 Zn 2.69, 8 Ag 2.90
Ag (0.3043, 0.3043, 0.6087)  4 Ag 2.78-2.90, 4 Zn 2.90, 1 Pr 3.06
Ag (0.3043, 0.6957, 0.0000)  4 Ag 2.78-2.90, 4 Zn 2.90, 1 Pr 3.06
Ag (0.6957, 0.3043, 0.0000)  4 Ag 2.78-2.90, 4 Zn 2.90, 1 Pr 3.06
Ag (0.6957, 0.6957, 0.3913)  4 Ag 2.78-2.90, 4 Zn 2.90, 1 Pr 3.06

---

2.
# Pr3Zn4Ag2

A relaxed Pr3Zn4Ag2 crystal (PBE, the Alexandria database).

DFT formation energy in eV/atom: -0.3171
Spin magnetization in μB/f.u.: 0.000
E_tot in eV/cell: -27.991

a = 5.9319 Å, b = 5.9319 Å, c = 8.8982 Å
α = 113.16°, β = 113.16°, γ = 46.51°
Closest atoms and distances in Å follow each position.
Fractional positions:
Pr (0.0000, 0.0000, 0.0000)  8 Zn 3.22-3.29, 4 Ag 3.23, 2 Pr 3.56
Pr (0.3326, 0.3326, 0.3317)  8 Zn 3.21-3.33, 4 Ag 3.25-3.27, 1 Pr 3.56
Pr (0.6674, 0.6674, 0.6683)  8 Zn 3.21-3.33, 4 Ag 3.25-3.27, 1 Pr 3.56
Zn (0.0485, 0.0485, 0.3860)  1 Zn 2.66, 2 Ag 2.73
Zn (0.2727, 0.2727, 0.9437)  2 Zn 2.68, 1 Ag 2.75
Zn (0.7273, 0.7273, 0.0563)  2 Zn 2.68, 1 Ag 2.75
Zn (0.9515, 0.9515, 0.6140)  1 Zn 2.66, 2 Ag 2.73
Ag (0.3889, 0.3889, 0.7233)  3 Zn 2.73-2.75
Ag (0.6111, 0.6111, 0.2767)  3 Zn 2.73-2.75

---

3.
# PrZrZnAg

A relaxed PrZrZnAg crystal (PBE, the Alexandria database).

DFT formation energy in eV/atom: -0.0730
Spin magnetization in μB/f.u.: 1.188
E_tot in eV/cell: -17.745

a = 5.0705 Å, b = 5.0705 Å, c = 5.0705 Å
α = 60.00°, β = 60.00°, γ = 60.00°
Closest atoms and distances in Å follow each position.
Fractional positions:
Pr (0.0000, 0.0000, 0.0000)  4 Zn 3.11, 4 Ag 3.11
Zr (0.5000, 0.5000, 0.5000)  4 Zn 3.11, 4 Ag 3.11
Zn (0.2500, 0.2500, 0.2500)  4 Zr 3.11, 4 Pr 3.11
Ag (0.7500, 0.7500, 0.7500)  4 Zr 3.11, 4 Pr 3.11

---

4.
# Pr2ZrAg

A relaxed Pr2ZrAg crystal (PBE, the Alexandria database).

DFT formation energy in eV/atom: 0.3236
Energy relative to the lowest polymorph listed for this composition in eV per atom: 0.350
Spin magnetization in μB/f.u.: 0.000
E_tot in eV/cell: -19.664

a = 11.9222 Å, b = 11.9222 Å, c = 11.9222 Å
α = 15.95°, β = 15.95°, γ = 15.95°
Closest atoms and distances in Å follow each position.
Fractional positions:
Pr (0.0915, 0.0915, 0.0915)  1 Zr 3.23, 3 Ag 3.27, 6 Pr 3.31
Pr (0.9085, 0.9085, 0.9085)  1 Zr 3.23, 3 Ag 3.27, 6 Pr 3.31
Zr (0.0000, 0.0000, 0.0000)  2 Pr 3.23, 6 Zr 3.31
Ag (0.5000, 0.5000, 0.5000)  6 Pr 3.27, 6 Ag 3.31

---

> Look up the E_tot of the first one.

-20.027 eV/cell

---

> What is the formula in the fourth record?

Pr2ZrAg